Record 1
## BaMoSe3 (GGA-PBE)

Data for a relaxed structure of BaMoSe3.

Cell: 8.3733 6.6231 10.3974 Å, 90.00 98.45 90.00°
Space group P2_1/c (No. 14)
Inequivalent atoms, fractional coordinates:
Ba: 0.1444 0.2466 0.1713 [4 per cell]
Mo: 0.4167 0.7019 0.1236 [4 per cell]
Se: 0.1158 0.7354 0.6065 [4 per cell]
Se: 0.3297 0.0618 0.4491 [4 per cell]
Se: 0.4625 0.5476 0.3355 [4 per cell]

Results
* uncorrected formation energy: -0.871 eV/atom
* magnetization: 0.00 μB/cell

Record 2
## TlTeCl6 (GGA-PBE)

Data for a relaxed structure of TlTeCl6.

Cell: 6.9727 6.9727 19.3091 Å, 90.00 90.00 120.00°
Space group R-3m (No. 166, hexagonal axes)
Inequivalent atoms, fractional coordinates:
Tl: 0.0000 0.0000 0.0000 [3 per cell]
Te: 0.0000 0.0000 0.5000 [3 per cell]
Cl: 0.9996 0.4998 0.0927 [18 per cell]

Results
* uncorrected formation energy: -0.574 eV/atom
* magnetization: 0.00 μB/cell

Record 3
## YIr3S (GGA-PBE)

Data for a relaxed structure of YIr3S.

Cell: 4.4953 4.4953 4.4953 Å, 90.00 90.00 90.00°
Space group Pm-3m (No. 221)
Inequivalent atoms, fractional coordinates:
Y: 0.0000 0.0000 0.0000 [1 per cell]
Ir: 0.0000 0.5000 0.5000 [3 per cell]
S: 0.5000 0.5000 0.5000 [1 per cell]

Results
* uncorrected formation energy: 0.018 eV/atom
* magnetization: 0.00 μB/cell

Record 4
## Pr2PtPb (GGA-PBE)

Data for a relaxed structure of Pr2PtPb.

Cell: 4.1130 4.1130 25.6845 Å, 90.00 90.00 120.00°
Space group R3m (No. 160, hexagonal axes)
Inequivalent atoms, fractional coordinates:
Pr: 0.0000 0.0000 0.0000 [3 per cell]
Pr: 0.0000 0.0000 0.1996 [3 per cell]
Pt: 0.0000 0.0000 0.5993 [3 per cell]
Pb: 0.0000 0.0000 0.4333 [3 per cell]

Results
* energy: -5.51 eV per atom
* magnetization: 0.00 μB/cell

Record 5
## BiOsN3 (GGA-PBE)

Data for a relaxed structure of BiOsN3.

Cell: 4.1750 4.1750 4.1750 Å, 90.00 90.00 90.00°
Space group Pm-3m (No. 221)
Inequivalent atoms, fractional coordinates:
Bi: 0.0000 0.0000 0.0000 [1 per cell]
Os: 0.5000 0.5000 0.5000 [1 per cell]
N: 0.0000 0.0000 0.5000 [3 per cell]

Results
* uncorrected formation energy: 2.961 eV/atom
* magnetization: 1.15 μB/cell

Record 6
## ZrGeTe6 (GGA-PBE)

Data for a relaxed structure of ZrGeTe6.

Cell: 6.8541 6.9089 7.0028 Å, 62.38 85.50 64.63°
Space group P-1 (No. 2)
Inequivalent atoms, fractional coordinates:
Zr: 0.0000 0.0000 0.0000 [1 per cell]
Ge: 0.5000 0.0000 0.5000 [1 per cell]
Te: 0.1701 0.8401 0.4443 [2 per cell]
Te: 0.3065 0.5089 0.1031 [2 per cell]
Te: 0.3176 0.1778 0.8202 [2 per cell]

Results
* uncorrected formation energy: -0.184 eV/atom
* magnetization: 0.00 μB/cell

Record 7
## MgFe (GGA-PBE)

Data for a relaxed structure of MgFe.

Cell: 4.5444 4.5444 5.1329 Å, 90.00 90.00 120.00°
Space group P6_3/mmc (No. 194)
Inequivalent atoms, fractional coordinates:
Mg: 0.3333 0.6667 0.2500 [2 per cell]
Fe: 0.3333 0.6667 0.7500 [2 per cell]

Results
* energy: -3.73 eV per atom
* magnetization: 5.19 μB/cell

Record 8
## Y2AuC (GGA-PBE)

Data for a relaxed structure of Y2AuC.

Cell: 6.9083 6.9083 7.6849 Å, 90.00 90.00 90.00°
Space group I-42d (No. 122)
Inequivalent atoms, fractional coordinates:
Y: 0.1777 0.2500 0.1250 [8 per cell]
Au: 0.0000 0.0000 0.5000 [4 per cell]
C: 0.0000 0.0000 0.0000 [4 per cell]

Results
* energy: -6.64 eV per atom
* magnetization: 0.00 μB/cell

Number 4 is which compound? Pr2PtPb

What is the magnetization in the second record? 0.00 μB/cell

Which formula does entry 4 have? Pr2PtPb